[1]
Here is a geometry-optimized Cs2AuN structure from Alexandria via LeMat-Bulk. Energies are from PBE.

Values from the calculation:
Formation energy from raw total energies ... 62 kJ per mole of atoms
Final energy ... -10.7 eV per cell
SG ... Fm-3m (225)

a = 5.912 Å, b = 5.912 Å, c = 5.912 Å
α = 60.00°, β = 60.00°, γ = 60.00°
Fractional positions:
Cs (0.250, 0.250, 0.250)
Cs (0.750, 0.750, 0.750)
Au (0.500, 0.500, 0.500)
N (0.000, 0.000, 0.000)



[2]
Here is a geometry-optimized CsAuN2 structure from Alexandria via LeMat-Bulk. Energies are from PBE.

Values from the calculation:
Energy above the lowest structure with this stoichiometry ... 0.000 eV per atom
Formation energy from raw total energies ... -15 kJ per mole of atoms
Final energy ... -42.8 eV per cell
SG ... C2/c (15)

a = 7.605 Å, b = 5.326 Å, c = 9.609 Å
α = 73.94°, β = 78.81°, γ = 45.45°
Fractional positions:
Cs (0.250, 0.639, 0.723)
Cs (0.750, 0.361, 0.277)
Au (0.000, 0.500, 0.500)
Au (0.500, 0.000, 0.500)
N (0.750, 0.899, 0.989)
N (0.250, 0.101, 0.011)
N (0.750, 0.112, 0.988)
N (0.250, 0.888, 0.012)



[3]
Here is a geometry-optimized Cs3AuN structure from Alexandria via LeMat-Bulk. Energies are from PBE.

Values from the calculation:
Formation energy from raw total energies ... 26 kJ per mole of atoms
Final energy ... -12.8 eV per cell
SG ... Pm-3m (221)

a = 6.008 Å, b = 6.008 Å, c = 6.008 Å
α = 90.00°, β = 90.00°, γ = 90.00°
Fractional positions:
Cs (0.000, 0.500, 0.000)
Cs (0.000, 0.000, 0.500)
Cs (0.500, 0.000, 0.000)
Au (0.500, 0.500, 0.500)
N (0.000, 0.000, 0.000)



[4]
Here is a geometry-optimized Cs4AuN12 structure from Alexandria via LeMat-Bulk. Energies are from PBE.

Values from the calculation:
Formation energy from raw total energies ... -9 kJ per mole of atoms
Final energy ... -108.2 eV per cell
SG ... Im-3 (204)

a = 8.520 Å, b = 8.520 Å, c = 8.520 Å
α = 109.47°, β = 109.47°, γ = 109.47°
Fractional positions:
Cs (0.000, 0.500, 0.000)
Cs (0.000, 0.000, 0.500)
Cs (0.500, 0.000, 0.000)
Cs (0.500, 0.500, 0.500)
Au (0.000, 0.000, 0.000)
N (0.703, 0.145, 0.558)
N (0.855, 0.442, 0.297)
N (0.442, 0.587, 0.145)
N (0.145, 0.442, 0.587)
N (0.558, 0.413, 0.855)
N (0.145, 0.558, 0.703)
N (0.558, 0.703, 0.145)
N (0.442, 0.297, 0.855)
N (0.855, 0.558, 0.413)
N (0.587, 0.145, 0.442)
N (0.413, 0.855, 0.558)
N (0.297, 0.855, 0.442)



[5]
Here is a geometry-optimized CsAu3N structure from Alexandria via LeMat-Bulk. Energies are from PBE.

Values from the calculation:
Formation energy from raw total energies ... 63 kJ per mole of atoms
Final energy ... -15.8 eV per cell
SG ... Pm-3m (221)

a = 4.799 Å, b = 4.799 Å, c = 4.799 Å
α = 90.00°, β = 90.00°, γ = 90.00°
Fractional positions:
Cs (0.500, 0.500, 0.500)
Au (0.000, 0.500, 0.000)
Au (0.000, 0.000, 0.500)
Au (0.500, 0.000, 0.000)
N (0.000, 0.000, 0.000)



[6]
Here is a geometry-optimized CsAuN2 structure from Alexandria via LeMat-Bulk. Energies are from PBE.

Values from the calculation:
Energy above the lowest structure with this stoichiometry ... 1.506 eV per atom
Formation energy from raw total energies ... 131 kJ per mole of atoms
Final energy ... -15.4 eV per cell
SG ... R-3m (166)

a = 7.595 Å, b = 7.595 Å, c = 7.595 Å
α = 26.30°, β = 26.30°, γ = 26.30°
Fractional positions:
Cs (0.000, 0.000, 0.000)
Au (0.500, 0.500, 0.500)
N (0.874, 0.874, 0.874)
N (0.126, 0.126, 0.126)



[7]
Here is a geometry-optimized CsAuNO2 structure from Alexandria via LeMat-Bulk. Energies are from PBE.

Values from the calculation:
Formation energy from raw total energies ... 177 kJ per mole of atoms
Final energy ... -13.2 eV per cell
SG ... P4/mmm (123)

a = 4.472 Å, b = 4.472 Å, c = 4.833 Å
α = 90.00°, β = 90.00°, γ = 90.00°
Fractional positions:
Cs (0.000, 0.000, 0.000)
Au (0.500, 0.500, 0.500)
O (0.000, 0.500, 0.000)
O (0.500, 0.000, 0.000)
N (0.000, 0.000, 0.500)



[8]
Here is a geometry-optimized CsAuNO2 structure from Alexandria via LeMat-Bulk. Energies are from PBE.

Values from the calculation:
Formation energy from raw total energies ... 61 kJ per mole of atoms
Final energy ... -19.2 eV per cell
SG ... P4/mmm (123)

a = 4.573 Å, b = 4.573 Å, c = 3.886 Å
α = 90.00°, β = 90.00°, γ = 90.00°
Fractional positions:
Cs (0.500, 0.500, 0.500)
Au (0.000, 0.000, 0.000)
O (0.000, 0.500, 0.000)
O (0.500, 0.000, 0.000)
N (0.000, 0.000, 0.500)



[9]
Here is a geometry-optimized CsAuS2N structure from Alexandria via LeMat-Bulk. Energies are from PBE.

Values from the calculation:
Formation energy from raw total energies ... 211 kJ per mole of atoms
Final energy ... -9.8 eV per cell
SG ... P4/mmm (123)

a = 5.486 Å, b = 5.486 Å, c = 4.352 Å
α = 90.00°, β = 90.00°, γ = 90.00°
Fractional positions:
Cs (0.000, 0.000, 0.000)
S (0.000, 0.500, 0.000)
S (0.500, 0.000, 0.000)
Au (0.500, 0.500, 0.500)
N (0.000, 0.000, 0.500)



[10]
Here is a geometry-optimized Cs2AuSe2N structure from Alexandria via LeMat-Bulk. Energies are from PBE.

Values from the calculation:
Formation energy from raw total energies ... 16 kJ per mole of atoms
Final energy ... -38.5 eV per cell
SG ... Ibam (72)

a = 6.564 Å, b = 7.485 Å, c = 8.888 Å
α = 114.90°, β = 111.67°, γ = 90.00°
Fractional positions:
Cs (0.672, 0.983, 0.344)
Cs (0.172, 0.361, 0.344)
Cs (0.828, 0.639, 0.656)
Cs (0.328, 0.017, 0.656)
Au (0.750, 0.500, 0.000)
Au (0.250, 0.500, 0.000)
Se (0.455, 0.743, 0.911)
Se (0.545, 0.257, 0.089)
Se (0.045, 0.832, 0.089)
Se (0.955, 0.168, 0.911)
N (0.250, 0.000, 0.000)
N (0.750, 0.000, 0.000)



[11]
Here is a geometry-optimized CsAuSe2N structure from Alexandria via LeMat-Bulk. Energies are from PBE.

Values from the calculation:
Formation energy from raw total energies ... 58 kJ per mole of atoms
Final energy ... -16.4 eV per cell
SG ... P4/mmm (123)

a = 5.986 Å, b = 5.986 Å, c = 3.763 Å
α = 90.00°, β = 90.00°, γ = 90.00°
Fractional positions:
Cs (0.500, 0.500, 0.500)
Au (0.000, 0.000, 0.000)
Se (0.000, 0.500, 0.000)
Se (0.500, 0.000, 0.000)
N (0.000, 0.000, 0.500)



[12]
Here is a geometry-optimized CsSrAu2N structure from Alexandria via LeMat-Bulk. Energies are from PBE.

Values from the calculation:
Formation energy from raw total energies ... 96 kJ per mole of atoms
Final energy ... -12.5 eV per cell
SG ... P4/mmm (123)

a = 6.181 Å, b = 4.645 Å, c = 6.181 Å
α = 90.00°, β = 90.00°, γ = 90.00°
Fractional positions:
Cs (0.000, 0.000, 0.000)
Sr (0.500, 0.500, 0.500)
Au (0.000, 0.000, 0.500)
Au (0.500, 0.000, 0.000)
N (0.000, 0.500, 0.000)



[13]
Here is a geometry-optimized CsTeAuN2 structure from Alexandria via LeMat-Bulk. Energies are from PBE.

Values from the calculation:
Formation energy from raw total energies ... 218 kJ per mole of atoms
Final energy ... -12.6 eV per cell
SG ... P4/mmm (123)

a = 4.375 Å, b = 4.375 Å, c = 7.981 Å
α = 90.00°, β = 90.00°, γ = 90.00°
Fractional positions:
Cs (0.000, 0.000, 0.000)
Te (0.000, 0.000, 0.500)
Au (0.500, 0.500, 0.500)
N (0.000, 0.500, 0.000)
N (0.500, 0.000, 0.000)



[14]
Here is a geometry-optimized CsZnAu2N structure from Alexandria via LeMat-Bulk. Energies are from PBE.

Values from the calculation:
Formation energy from raw total energies ... 89 kJ per mole of atoms
Final energy ... -12.4 eV per cell
SG ... P4/mmm (123)

a = 4.918 Å, b = 7.298 Å, c = 4.918 Å
α = 90.00°, β = 90.00°, γ = 90.00°
Fractional positions:
Cs (0.000, 0.500, 0.000)
Zn (0.000, 0.000, 0.000)
Au (0.000, 0.000, 0.500)
Au (0.500, 0.000, 0.000)
N (0.500, 0.500, 0.500)



[15]
Here is a geometry-optimized Cs3NaAu structure from Alexandria via LeMat-Bulk. Energies are from PBE.

Values from the calculation:
Energy above the lowest structure with this stoichiometry ... 0.017 eV per atom
Calculated formation energy ... -11.19 kJ/mol of atoms
Final energy ... -7.7 eV per cell
SG ... Pm-3m (221)

a = 7.131 Å, b = 7.131 Å, c = 7.131 Å
α = 90.00°, β = 90.00°, γ = 90.00°
Fractional positions:
Cs (0.000, 0.500, 0.000)
Cs (0.000, 0.000, 0.500)
Cs (0.500, 0.000, 0.000)
Na (0.500, 0.500, 0.500)
Au (0.000, 0.000, 0.000)



[16]
Here is a geometry-optimized Cs2NaAu2 structure from Alexandria via LeMat-Bulk. Energies are from PBE.

Values from the calculation:
Energy above the lowest structure with this stoichiometry ... 0.229 eV per atom
Calculated formation energy ... -3.57 kJ/mol of atoms
Final energy ... -9.8 eV per cell
SG ... I4/mmm (139)

a = 5.626 Å, b = 5.626 Å, c = 8.255 Å
α = 70.08°, β = 70.08°, γ = 90.00°
Fractional positions:
Cs (0.750, 0.250, 0.500)
Cs (0.250, 0.750, 0.500)
Na (0.000, 0.000, 0.000)
Au (0.403, 0.403, 0.194)
Au (0.597, 0.597, 0.806)



[17]
Here is a geometry-optimized Cs5Na2Au4 structure from Alexandria via LeMat-Bulk. Energies are from PBE.

Values from the calculation:
Calculated formation energy ... -20.11 kJ/mol of atoms
Final energy ... -22.3 eV per cell
SG ... C2/m (12)

a = 9.472 Å, b = 9.472 Å, c = 9.876 Å
α = 93.54°, β = 93.54°, γ = 36.27°
Fractional positions:
Cs (0.148, 0.148, 0.518)
Cs (0.852, 0.852, 0.482)
Cs (0.163, 0.163, 0.029)
Cs (0.500, 0.500, 0.000)
Cs (0.837, 0.837, 0.971)
Na (0.525, 0.525, 0.347)
Na (0.475, 0.475, 0.653)
Au (0.680, 0.680, 0.239)
Au (0.002, 0.002, 0.765)
Au (0.320, 0.320, 0.761)
Au (0.998, 0.998, 0.235)



[18]
Here is a geometry-optimized Cs2NaAu2 structure from Alexandria via LeMat-Bulk. Energies are from PBE.

Values from the calculation:
Energy above the lowest structure with this stoichiometry ... 0.048 eV per atom
Calculated formation energy ... -21.00 kJ/mol of atoms
Final energy ... -21.3 eV per cell
SG ... P4/mbm (127)

a = 9.249 Å, b = 9.249 Å, c = 4.911 Å
α = 90.00°, β = 90.00°, γ = 90.00°
Fractional positions:
Cs (0.146, 0.646, 0.500)
Cs (0.646, 0.854, 0.500)
Cs (0.854, 0.354, 0.500)
Cs (0.354, 0.146, 0.500)
Na (0.000, 0.000, 0.000)
Na (0.500, 0.500, 0.000)
Au (0.337, 0.837, 0.000)
Au (0.837, 0.663, 0.000)
Au (0.663, 0.163, 0.000)
Au (0.163, 0.337, 0.000)



[19]
Here is a geometry-optimized Cs6NaAu2 structure from Alexandria via LeMat-Bulk. Energies are from PBE.

Values from the calculation:
Calculated formation energy ... -11.65 kJ/mol of atoms
Final energy ... -14.1 eV per cell
SG ... C2/m (12)

a = 7.263 Å, b = 9.482 Å, c = 11.887 Å
α = 70.30°, β = 72.21°, γ = 67.48°
Fractional positions:
Cs (0.704, 0.683, 0.909)
Cs (0.296, 0.317, 0.091)
Cs (0.983, 0.847, 0.188)
Cs (0.334, 0.754, 0.578)
Cs (0.017, 0.153, 0.812)
Cs (0.666, 0.246, 0.422)
Na (0.000, 0.500, 0.500)
Au (0.184, 0.728, 0.905)
Au (0.816, 0.272, 0.095)



[20]
Here is a geometry-optimized Cs2Na12Au7 structure from Alexandria via LeMat-Bulk. Energies are from PBE.

Values from the calculation:
Calculated formation energy ... -22.64 kJ/mol of atoms
Final energy ... -45.4 eV per cell
SG ... P-6 (174)

a = 4.761 Å, b = 12.231 Å, c = 12.231 Å
α = 120.00°, β = 90.00°, γ = 90.00°
Fractional positions:
Cs (0.500, 0.000, 0.000)
Cs (0.000, 0.667, 0.333)
Na (0.500, 0.908, 0.621)
Na (0.500, 0.713, 0.092)
Na (0.500, 0.379, 0.287)
Na (0.500, 0.241, 0.787)
Na (0.500, 0.546, 0.759)
Na (0.500, 0.213, 0.454)
Na (0.000, 0.057, 0.541)
Na (0.000, 0.484, 0.943)
Na (0.000, 0.459, 0.516)
Na (0.000, 0.771, 0.720)
Na (0.000, 0.948, 0.229)
Na (0.000, 0.280, 0.052)
Au (0.000, 0.333, 0.667)
Au (0.000, 0.057, 0.786)
Au (0.000, 0.729, 0.943)
Au (0.000, 0.214, 0.271)
Au (0.500, 0.628, 0.552)
Au (0.500, 0.925, 0.372)
Au (0.500, 0.448, 0.075)



[21]
Here is a geometry-optimized CsNa3Au structure from Alexandria via LeMat-Bulk. Energies are from PBE.

Values from the calculation:
Energy above the lowest structure with this stoichiometry ... 0.000 eV per atom
Calculated formation energy ... -14.66 kJ/mol of atoms
Final energy ... -17.7 eV per cell
SG ... P2_1 (4)

a = 4.879 Å, b = 9.061 Å, c = 9.335 Å
α = 73.57°, β = 90.00°, γ = 90.00°
Fractional positions:
Cs (0.382, 0.532, 0.228)
Cs (0.882, 0.143, 0.578)
Na (0.881, 0.719, 0.502)
Na (0.381, 0.956, 0.304)
Na (0.881, 0.720, 0.869)
Na (0.880, 0.205, 0.041)
Na (0.380, 0.470, 0.766)
Na (0.381, 0.955, 0.937)
Au (0.381, 0.822, 0.659)
Au (0.881, 0.853, 0.147)



[22]
Here is a geometry-optimized Cs2NaAu structure from Alexandria via LeMat-Bulk. Energies are from PBE.

Values from the calculation:
Energy above the lowest structure with this stoichiometry ... 0.037 eV per atom
Calculated formation energy ... -13.53 kJ/mol of atoms
Final energy ... -13.7 eV per cell
SG ... I-42d (122)

a = 13.342 Å, b = 13.342 Å, c = 9.881 Å
α = 47.53°, β = 47.53°, γ = 90.00°
Fractional positions:
Cs (0.789, 0.125, 0.250)
Cs (0.961, 0.625, 0.250)
Cs (0.375, 0.211, 0.750)
Cs (0.875, 0.039, 0.750)
Na (0.500, 0.500, 0.000)
Na (0.250, 0.750, 0.500)
Au (0.000, 0.000, 0.000)
Au (0.750, 0.250, 0.500)



[23]
Here is a geometry-optimized CsNaAu10 structure from Alexandria via LeMat-Bulk. Energies are from PBE.

Values from the calculation:
Calculated formation energy ... -16.14 kJ/mol of atoms
Final energy ... -37.0 eV per cell
SG ... Pmmm (47)

a = 4.633 Å, b = 5.752 Å, c = 10.028 Å
α = 90.00°, β = 90.00°, γ = 90.00°
Fractional positions:
Cs (0.000, 0.000, 0.000)
Na (0.000, 0.500, 0.500)
Au (0.000, 0.000, 0.344)
Au (0.000, 0.500, 0.813)
Au (0.000, 0.500, 0.187)
Au (0.000, 0.000, 0.656)
Au (0.500, 0.000, 0.500)
Au (0.500, 0.500, 0.000)
Au (0.500, 0.253, 0.258)
Au (0.500, 0.747, 0.742)
Au (0.500, 0.747, 0.258)
Au (0.500, 0.253, 0.742)



[24]
Here is a geometry-optimized Cs2Na4Au structure from Alexandria via LeMat-Bulk. Energies are from PBE.

Values from the calculation:
Calculated formation energy ... -3.81 kJ/mol of atoms
Final energy ... -10.5 eV per cell
SG ... I4/mmm (139)

a = 5.922 Å, b = 5.922 Å, c = 11.207 Å
α = 74.68°, β = 74.68°, γ = 90.00°
Fractional positions:
Cs (0.654, 0.654, 0.693)
Cs (0.346, 0.346, 0.307)
Na (0.864, 0.864, 0.272)
Na (0.136, 0.136, 0.728)
Na (0.000, 0.500, 0.000)
Na (0.500, 0.000, 0.000)
Au (0.000, 0.000, 0.000)



[25]
Here is a geometry-optimized Cs5Na2Au5 structure from Alexandria via LeMat-Bulk. Energies are from PBE.

Values from the calculation:
Calculated formation energy ... -22.51 kJ/mol of atoms
Final energy ... -26.1 eV per cell
SG ... C2/m (12)

a = 4.796 Å, b = 9.560 Å, c = 11.437 Å
α = 82.74°, β = 77.90°, γ = 75.47°
Fractional positions:
Cs (0.000, 0.500, 0.500)
Cs (0.674, 0.740, 0.911)
Cs (0.367, 0.937, 0.329)
Cs (0.633, 0.063, 0.671)
Cs (0.326, 0.260, 0.089)
Na (0.385, 0.451, 0.779)
Na (0.615, 0.549, 0.221)
Au (0.692, 0.255, 0.362)
Au (0.948, 0.263, 0.842)
Au (0.052, 0.737, 0.158)
Au (0.308, 0.745, 0.638)
Au (0.000, 0.000, 0.000)